(1)
Ca2Er2Pb2S | GGA-PBE | relaxed

Computed properties:
Volume, Å³ per atom: 30.86
E, eV/cell: -62.04
E_form (uncorrected), eV/atom: -0.91

a b c (Å): 5.0942 5.0942 16.6504
angles (deg): 90.00 90.00 90.00
Element x y z (fractional)
Ca (0.0000, 0.0000, 0.1748)
Ca (0.0000, 0.0000, 0.8252)
Ca (0.5000, 0.5000, 0.3252)
Ca (0.5000, 0.5000, 0.6748)
Er (0.0000, 0.5000, 0.0000)
Er (0.0000, 0.5000, 0.5000)
Er (0.5000, 0.0000, 0.0000)
Er (0.5000, 0.0000, 0.5000)
Pb (0.0000, 0.0000, 0.3702)
Pb (0.0000, 0.0000, 0.6298)
Pb (0.5000, 0.5000, 0.1298)
Pb (0.5000, 0.5000, 0.8702)
S (0.0000, 0.0000, 0.0000)
S (0.5000, 0.5000, 0.5000)


(2)
MgZrN2O | GGA-PBE | relaxed

Computed properties:
Volume, Å³ per atom: 11.12
E, eV/cell: -32.81
E_form (uncorrected), eV/atom: -0.21

a b c (Å): 3.8769 3.8769 3.6986
angles (deg): 90.00 90.00 90.00
Element x y z (fractional)
Mg (0.0000, 0.0000, 0.0000)
Zr (0.5000, 0.5000, 0.5000)
N (0.0000, 0.5000, 0.0000)
N (0.5000, 0.0000, 0.0000)
O (0.0000, 0.0000, 0.5000)


(3)
ReTc2I | GGA-PBE | relaxed

Computed properties:
Polymorph energy (0 for the lowest one), meV/atom: 0
Volume, Å³ per atom: 16.54
E, eV/cell: -121.58
E_form (uncorrected), eV/atom: 1.08

a b c (Å): 6.4201 6.4201 6.4201
angles (deg): 90.00 90.00 90.00
Element x y z (fractional)
Re (0.0000, 0.0000, 0.0000)
Re (0.0000, 0.5000, 0.5000)
Re (0.5000, 0.0000, 0.5000)
Re (0.5000, 0.5000, 0.0000)
Tc (0.2500, 0.2500, 0.2500)
Tc (0.2500, 0.2500, 0.7500)
Tc (0.2500, 0.7500, 0.2500)
Tc (0.2500, 0.7500, 0.7500)
Tc (0.7500, 0.2500, 0.2500)
Tc (0.7500, 0.2500, 0.7500)
Tc (0.7500, 0.7500, 0.2500)
Tc (0.7500, 0.7500, 0.7500)
I (0.0000, 0.0000, 0.5000)
I (0.0000, 0.5000, 0.0000)
I (0.5000, 0.0000, 0.0000)
I (0.5000, 0.5000, 0.5000)


(4)
AcCePt2 | GGA-PBE | relaxed

Computed properties:
Polymorph energy (0 for the lowest one), meV/atom: 119
Volume, Å³ per atom: 24.87
ΔE_f, eV per atom: -0.990
E, eV/cell: -26.08

a b c (Å): 3.6724 3.6724 7.3774
angles (deg): 90.00 90.00 90.00
Element x y z (fractional)
Ac (0.0000, 0.0000, 0.0000)
Ce (0.0000, 0.0000, 0.5000)
Pt (0.5000, 0.5000, 0.2850)
Pt (0.5000, 0.5000, 0.7150)


(5)
Be2SiAs | GGA-PBE | relaxed

Computed properties:
Polymorph energy (0 for the lowest one), meV/atom: 429
Volume, Å³ per atom: 13.09
E, eV/cell: -60.46
E_form (uncorrected), eV/atom: 0.60

a b c (Å): 5.9384 5.9384 5.9384
angles (deg): 90.00 90.00 90.00
Element x y z (fractional)
Be (0.2500, 0.2500, 0.2500)
Be (0.2500, 0.2500, 0.7500)
Be (0.2500, 0.7500, 0.2500)
Be (0.2500, 0.7500, 0.7500)
Be (0.7500, 0.2500, 0.2500)
Be (0.7500, 0.2500, 0.7500)
Be (0.7500, 0.7500, 0.2500)
Be (0.7500, 0.7500, 0.7500)
Si (0.0000, 0.0000, 0.0000)
Si (0.0000, 0.5000, 0.5000)
Si (0.5000, 0.0000, 0.5000)
Si (0.5000, 0.5000, 0.0000)
As (0.0000, 0.0000, 0.5000)
As (0.0000, 0.5000, 0.0000)
As (0.5000, 0.0000, 0.0000)
As (0.5000, 0.5000, 0.5000)


(6)
Sm2HoPaAs5 | GGA-PBE | relaxed

Computed properties:
Volume, Å³ per atom: 31.13
ΔE_f, eV per atom: -0.560
E, eV/cell: -51.80

a b c (Å): 5.0765 5.0765 10.8723
angles (deg): 90.00 90.00 90.00
Element x y z (fractional)
Sm (0.0000, 0.0000, 0.2295)
Sm (0.0000, 0.0000, 0.7705)
Ho (0.5000, 0.5000, 0.5000)
Pa (0.5000, 0.5000, 0.0000)
As (0.0000, 0.0000, 0.5000)
As (0.0000, 0.5000, 0.0000)
As (0.5000, 0.0000, 0.0000)
As (0.5000, 0.5000, 0.2542)
As (0.5000, 0.5000, 0.7458)